Material: Ca2LaAl
Method: DFT, PBEsol
State: relaxed

Calculated values
- Uncorrected energy: -3.5442 eV per atom
- Spin magnetization: 0.00 μB/f.u.
- Fermi-level density of states: 3.6 states/eV/f.u.
- V: 130.2 Å³ per cell
- Energy of formation from the pure elements: -0.118 eV per atom

Cell: 3.679 3.679 9.615 Å, 90.00 90.00 90.00°
Positions (direct):
Ca  0.000  0.000  0.000
Ca  0.500  0.500  0.308
La  0.000  0.000  0.613
Al  0.500  0.500  0.806